Entry from Alexandria via LeMat-Bulk: crystalline V2PtBr8 at its relaxed geometry (PBE).

a = 7.365 Å, b = 8.873 Å, c = 8.873 Å
α = 59.01°, β = 109.77°, γ = 109.77°
Each line ends with the local moment (μB).
Fractional coordinates of all 11 atoms:
V: 0.710 0.797 0.797  1.78
V: 0.290 0.203 0.203  1.78
Pt: 0.000 0.000 0.000  0.11
Br: 0.051 0.321 0.923  -0.01
Br: 0.949 0.077 0.679  -0.01
Br: 0.431 0.834 0.834  -0.03
Br: 0.569 0.166 0.166  -0.03
Br: 0.051 0.923 0.321  -0.01
Br: 0.949 0.679 0.077  -0.01
Br: 0.631 0.636 0.636  -0.01
Br: 0.369 0.364 0.364  -0.01

Results
E_form (uncorrected) = -0.59 eV/atom
DFT total energy = -44.2 eV/f.u.
total magnetic moment = 4.0 μB/f.u.
calculated density = 3.394 Mg/m³